VASP calculation (PBE) on a relaxed structure of La5PmNd2Dy. Values from VASP.

Geometry as Quantum ESPRESSO input:
```
&SYSTEM
  ibrav = 0, nat = 18, ntyp = 4
/
ATOMIC_SPECIES
La 138.91 La.upf
Dy 162.50 Dy.upf
Pm 145.00 Pm.upf
Nd 144.24 Nd.upf
CELL_PARAMETERS angstrom
-7.494 3.857 3.302
0.832 -4.873 7.583
7.706 6.259 -2.227
ATOMIC_POSITIONS crystal
La 0.151 0.069 0.719
La 0.000 0.000 0.000
La 0.069 0.569 0.719
La 0.651 0.151 0.719
Dy 0.250 0.750 0.500
Pm 0.250 0.250 0.500
Nd 0.116 0.384 0.000
Nd 0.384 0.884 0.000
La 0.431 0.349 0.281
La 0.569 0.651 0.719
La 0.931 0.431 0.281
Pm 0.750 0.750 0.500
La 0.849 0.931 0.281
La 0.349 0.849 0.281
Dy 0.750 0.250 0.500
Nd 0.616 0.116 0.000
La 0.500 0.500 0.000
Nd 0.884 0.616 0.000
```

## Properties
- SG = I4/mcm
- formation enthalpy at 0 K (eV/atom) = 0.26



VASP calculation (PBE) on a relaxed structure of KCaSi2. Values from VASP.

Geometry as Quantum ESPRESSO input:
```
&SYSTEM
  ibrav = 0, nat = 4, ntyp = 3
/
ATOMIC_SPECIES
Si 28.09 Si.upf
K 39.10 K.upf
Ca 40.08 Ca.upf
CELL_PARAMETERS angstrom
-2.965 -0.284 -0.882
0.411 -3.053 -0.399
-2.614 -1.565 9.292
ATOMIC_POSITIONS crystal
Si 0.000 0.000 0.021
K 0.500 0.500 0.750
Si 0.000 0.000 0.479
Ca 0.500 0.500 0.250
```

## Properties
- raw formation energy (meV/atom) = 147.0
- SG = P4/mmm
- energy above the most stable polymorph in this dataset (kJ/mol of atoms) = 30.5



Quick rundown of E_tot, same order as above: -4.58; -3.34 eV per atom
Quick rundown of calculated volume, same order as above: 36.00; 23.58 Å³/atom